Entry 1:
## LiPu6S8 (GGA-PBE)

Data for LiPu6S8 after structural relaxation.

Values from the calculation:
* DOS(E_F): 48.53 states/eV/cell
* theoretical density: 8.3 g cm⁻³
* formation energy (no corrections): -1667.9 meV/atom
* raw total energy: -145.9 eV per cell

Cell: 7.8711 7.8711 7.8711 Å, 60.00 60.00 60.00°
Site moments in Bohr magnetons follow the coordinates.
Positions (direct):
Pu (0.5000, 0.5000, 0.0000)  5.28
Pu (0.5000, 0.0000, 0.0000)  5.28
Pu (0.0000, 0.5000, 0.0000)  5.28
Pu (0.0000, 0.5000, 0.5000)  5.28
Pu (0.0000, 0.0000, 0.5000)  5.28
Pu (0.5000, 0.0000, 0.5000)  5.28
S (0.7552, 0.7552, 0.2448)  -0.13
S (0.2500, 0.2500, 0.2500)  -0.14
S (0.7552, 0.2448, 0.7552)  -0.13
S (0.2448, 0.7552, 0.7552)  -0.13
S (0.7552, 0.2448, 0.2448)  -0.13
S (0.7500, 0.7500, 0.7500)  -0.14
S (0.2448, 0.2448, 0.7552)  -0.13
S (0.2448, 0.7552, 0.2448)  -0.13
Li (0.0000, 0.0000, 0.0000)  0.00


Entry 2:
## TbPm2I (GGA-PBE)

Data for TbPm2I after structural relaxation.

Values from the calculation:
* DOS(E_F): 4.15 states/eV/cell
* theoretical density: 7.2 g cm⁻³
* formation energy (no corrections): -380.8 meV/atom
* raw total energy: -17.2 eV per cell

Cell: 3.7866 3.7866 10.9674 Å, 80.06 80.06 60.00°
Positions (direct):
I (0.0000, 0.0000, 0.0000)
Pm (0.7453, 0.7453, 0.7640)
Pm (0.2547, 0.2547, 0.2360)
Tb (0.5000, 0.5000, 0.5000)


Entry 3:
## Sc2AlTe2 (GGA-PBE)

Data for Sc2AlTe2 after structural relaxation.

Values from the calculation:
* DOS(E_F): 6.01 states/eV/cell
* theoretical density: 5.2 g cm⁻³
* formation energy (no corrections): -637.3 meV/atom
* raw total energy: -51.8 eV per cell

Cell: 7.8304 7.8304 3.9085 Å, 90.00 90.00 90.00°
Positions (direct):
Al (0.5000, 0.5000, 0.0000)
Al (0.0000, 0.0000, 0.0000)
Te (0.3470, 0.1530, 0.5000)
Te (0.1530, 0.6530, 0.5000)
Te (0.8470, 0.3470, 0.5000)
Te (0.6530, 0.8470, 0.5000)
Sc (0.1503, 0.3497, 0.0000)
Sc (0.6503, 0.1503, 0.0000)
Sc (0.8497, 0.6503, 0.0000)
Sc (0.3497, 0.8497, 0.0000)


Entry 4:
## CsCdGaBr4 (GGA-PBE)

Data for CsCdGaBr4 after structural relaxation.

Values from the calculation:
* DOS(E_F): 0.00 states/eV/cell
* theoretical density: 3.6 g cm⁻³
* formation energy (no corrections): -1043.2 meV/atom
* raw total energy: -37.6 eV per cell

Cell: 8.1929 7.8090 9.5804 Å, 90.00 107.51 90.00°
Positions (direct):
Cd (0.2649, 0.7500, 0.3262)
Cd (0.7351, 0.2500, 0.6738)
Br (0.9571, 0.9908, 0.7147)
Br (0.9571, 0.5092, 0.7147)
Br (0.0429, 0.0092, 0.2853)
Br (0.0429, 0.4908, 0.2853)
Br (0.6208, 0.2500, 0.9003)
Br (0.5134, 0.2500, 0.4126)
Br (0.4866, 0.7500, 0.5874)
Br (0.3792, 0.7500, 0.0997)
Ga (0.2083, 0.2500, 0.5146)
Ga (0.7917, 0.7500, 0.4854)
Cs (0.7532, 0.7500, 0.9709)
Cs (0.2468, 0.2500, 0.0291)


Entry 5:
## PrTmSc (GGA-PBE)

Data for PrTmSc after structural relaxation.

Values from the calculation:
* calculated formation energy: 0.09 eV per atom
* DOS(E_F): 4.99 states/eV/cell
* theoretical density: 6.5 g cm⁻³
* raw total energy: -15.3 eV per cell

Cell: 3.4124 5.5322 5.5322 Å, 120.00 90.00 90.00°
Positions (direct):
Sc (0.1678, 0.3333, 0.6667)
Tm (0.1656, 0.0000, 0.0000)
Pr (0.6666, 0.6667, 0.3333)


Entry 6:
## GdCdPd2 (GGA-PBE)

Data for GdCdPd2 after structural relaxation.

Values from the calculation:
* calculated formation energy: -0.63 eV per atom
* DOS(E_F): 1.78 states/eV/cell
* theoretical density: 10.1 g cm⁻³
* raw total energy: -27.9 eV per cell

Cell: 3.4989 4.7512 4.7512 Å, 90.00 90.00 90.00°
Site moments in Bohr magnetons follow the coordinates.
Positions (direct):
Pd (0.0000, 0.5000, 0.0000)  0.01
Pd (0.0000, 0.0000, 0.5000)  0.01
Gd (0.5000, 0.5000, 0.5000)  7.01
Cd (0.5000, 0.0000, 0.0000)  0.00


Entry 7:
## Cs2TbAuCl6 (GGA-PBE)

Data for Cs2TbAuCl6 after structural relaxation.

Values from the calculation:
* DOS(E_F): 0.00 states/eV/cell
* theoretical density: 4.3 g cm⁻³
* formation energy (no corrections): -1718.0 meV/atom
* raw total energy: -37.9 eV per cell

Cell: 7.6913 7.6913 7.6913 Å, 60.00 60.00 60.00°
Positions (direct):
Au (0.5000, 0.5000, 0.5000)
Cl (0.2442, 0.7558, 0.2442)
Cl (0.2442, 0.2442, 0.7558)
Cl (0.7558, 0.7558, 0.2442)
Cl (0.7558, 0.2442, 0.2442)
Cl (0.2442, 0.7558, 0.7558)
Cl (0.7558, 0.2442, 0.7558)
Cs (0.7500, 0.7500, 0.7500)
Cs (0.2500, 0.2500, 0.2500)
Tb (0.0000, 0.0000, 0.0000)


Entry 8:
## SnBMo3 (GGA-PBE)

Data for SnBMo3 after structural relaxation.

Values from the calculation:
* calculated formation energy: 0.18 eV per atom
* DOS(E_F): 3.42 states/eV/cell
* theoretical density: 8.9 g cm⁻³
* raw total energy: -42.3 eV per cell

Cell: 4.2694 4.2694 4.2694 Å, 90.00 90.00 90.00°
Positions (direct):
B (0.0000, 0.0000, 0.0000)
Sn (0.5000, 0.5000, 0.5000)
Mo (0.5000, 0.0000, 0.0000)
Mo (0.0000, 0.5000, 0.0000)
Mo (0.0000, 0.0000, 0.5000)


Entry 9:
## NpTeS (GGA-PBE)

Data for NpTeS after structural relaxation.

Values from the calculation:
* DOS(E_F): 20.80 states/eV/cell
* theoretical density: 7.9 g cm⁻³
* formation energy (no corrections): -945.9 meV/atom
* raw total energy: -46.1 eV per cell

Cell: 4.2802 5.2836 7.5497 Å, 103.90 90.00 90.00°
Site moments in Bohr magnetons follow the coordinates.
Positions (direct):
Np (0.7500, 0.6943, 0.8345)  3.79
Np (0.2500, 0.3057, 0.1655)  3.79
Te (0.2500, 0.7559, 0.5321)  -0.06
Te (0.7500, 0.2441, 0.4679)  -0.06
S (0.2500, 0.7695, 0.0626)  -0.12
S (0.7500, 0.2305, 0.9374)  -0.12


Entry 10:
## CsLi4Tl8 (GGA-PBE)

Data for CsLi4Tl8 after structural relaxation.

Values from the calculation:
* calculated formation energy: -0.12 eV per atom
* DOS(E_F): 6.76 states/eV/cell
* theoretical density: 8.4 g cm⁻³
* raw total energy: -29.0 eV per cell

Cell: 6.0533 8.2308 8.2308 Å, 82.23 68.42 68.42°
Positions (direct):
Li (0.0000, 0.0000, 0.5000)
Li (0.5000, 0.5000, 0.0000)
Li (0.5000, 0.0000, 0.5000)
Li (0.0000, 0.5000, 0.0000)
Tl (0.5000, 0.7731, 0.2269)
Tl (0.6495, 0.3505, 0.3505)
Tl (0.3505, 0.6495, 0.6495)
Tl (0.0000, 0.3505, 0.6495)
Tl (0.2731, 0.2269, 0.2269)
Tl (0.7269, 0.7731, 0.7731)
Tl (0.5000, 0.2269, 0.7731)
Tl (0.0000, 0.6495, 0.3505)
Cs (0.0000, 0.0000, 0.0000)


Entry 11:
## Fe2H2Ir (GGA-PBE)

Data for Fe2H2Ir after structural relaxation.

Values from the calculation:
* DOS(E_F): 10.48 states/eV/cell
* theoretical density: 12.2 g cm⁻³
* raw total energy: -61.4 eV per cell

Cell: 5.6182 5.6182 2.6373 Å, 90.00 90.00 90.00°
Positions (direct):
H (0.6302, 0.1302, 0.0000)
H (0.1302, 0.3698, 0.0000)
H (0.8698, 0.6302, 0.0000)
H (0.3698, 0.8698, 0.0000)
Ir (0.5000, 0.5000, 0.0000)
Ir (0.0000, 0.0000, 0.0000)
Fe (0.8644, 0.3644, 0.5000)
Fe (0.1356, 0.6356, 0.5000)
Fe (0.3644, 0.1356, 0.5000)
Fe (0.6356, 0.8644, 0.5000)


Entry 12:
## Ba2PAu (GGA-PBE)

Data for Ba2PAu after structural relaxation.

Values from the calculation:
* calculated formation energy: -0.58 eV per atom
* DOS(E_F): 0.00 states/eV/cell
* theoretical density: 4.2 g cm⁻³
* raw total energy: -29.7 eV per cell

Cell: 7.3555 7.3555 9.0126 Å, 65.92 65.92 90.00°
Positions (direct):
Ba (0.3750, 0.4107, 0.7500)
Ba (0.1607, 0.6250, 0.2500)
Ba (0.5893, 0.1250, 0.2500)
Ba (0.8750, 0.8393, 0.7500)
P (0.5000, 0.5000, 0.0000)
P (0.2500, 0.7500, 0.5000)
Au (0.7500, 0.2500, 0.5000)
Au (0.0000, 0.0000, 0.0000)


Entry 13:
## Sc4IrRu3 (GGA-PBE)

Data for Sc4IrRu3 after structural relaxation.

Values from the calculation:
* calculated formation energy: -0.68 eV per atom
* DOS(E_F): 6.16 states/eV/cell
* theoretical density: 8.5 g cm⁻³
* raw total energy: -67.5 eV per cell

Cell: 4.5438 4.5437 7.1836 Å, 108.45 108.44 90.00°
Positions (direct):
Sc (0.8743, 0.8743, 0.7487)
Sc (0.3743, 0.3742, 0.7486)
Sc (0.6257, 0.6258, 0.2514)
Sc (0.1257, 0.1257, 0.2513)
Ru (0.2494, 0.7493, 0.4988)
Ru (0.0000, 0.5000, 0.0000)
Ru (0.7506, 0.2507, 0.5012)
Ir (0.5000, 0.0000, 0.0000)


Entry 14:
## CdInAg2 (GGA-PBE)

Data for CdInAg2 after structural relaxation.

Values from the calculation:
* calculated formation energy: 0.04 eV per atom
* DOS(E_F): 1.88 states/eV/cell
* theoretical density: 9.1 g cm⁻³
* raw total energy: -9.2 eV per cell

Cell: 4.8536 4.8536 4.8536 Å, 60.00 60.00 60.00°
Positions (direct):
Cd (0.5000, 0.5000, 0.5000)
Ag (0.2500, 0.2500, 0.2500)
Ag (0.0000, 0.0000, 0.0000)
In (0.7500, 0.7500, 0.7500)


Entry 15:
## HfTlCd (GGA-PBE)

Data for HfTlCd after structural relaxation.

Values from the calculation:
* calculated formation energy: 0.14 eV per atom
* DOS(E_F): 1.51 states/eV/cell
* theoretical density: 11.9 g cm⁻³
* raw total energy: -12.8 eV per cell

Cell: 3.1872 3.1872 7.1510 Å, 102.88 102.88 90.00°
Positions (direct):
Tl (0.6637, 0.6637, 0.3274)
Hf (0.9970, 0.9970, 0.9939)
Cd (0.3393, 0.3393, 0.6787)


Entry 16:
## ScTi2Rh2 (GGA-PBE)

Data for ScTi2Rh2 after structural relaxation.

Values from the calculation:
* calculated formation energy: -0.59 eV per atom
* DOS(E_F): 8.63 states/eV/cell
* theoretical density: 7.0 g cm⁻³
* raw total energy: -79.5 eV per cell

Cell: 7.5802 7.5802 2.8776 Å, 90.00 90.00 90.00°
Positions (direct):
Ti (0.6431, 0.1431, 0.0000)
Ti (0.8569, 0.6431, 0.0000)
Ti (0.3569, 0.8569, 0.0000)
Ti (0.1431, 0.3569, 0.0000)
Sc (0.0000, 0.0000, 0.0000)
Sc (0.5000, 0.5000, 0.0000)
Rh (0.1547, 0.6547, 0.5000)
Rh (0.8453, 0.3453, 0.5000)
Rh (0.6547, 0.8453, 0.5000)
Rh (0.3453, 0.1547, 0.5000)


Entry 17:
## Sm5TlIr (GGA-PBE)

Data for Sm5TlIr after structural relaxation.

Values from the calculation:
* calculated formation energy: -0.25 eV per atom
* DOS(E_F): 14.82 states/eV/cell
* theoretical density: 9.1 g cm⁻³
* raw total energy: -73.1 eV per cell

Cell: 6.1433 6.1433 11.8669 Å, 77.70 77.70 77.83°
Positions (direct):
Sm (0.4503, 0.7858, 0.9442)
Sm (0.9925, 0.0075, 0.7500)
Sm (0.5497, 0.2142, 0.0558)
Sm (0.9234, 0.5769, 0.1267)
Sm (0.0075, 0.9925, 0.2500)
Sm (0.0766, 0.4231, 0.8733)
Sm (0.2142, 0.5497, 0.5558)
Sm (0.5769, 0.9234, 0.6267)
Sm (0.4231, 0.0766, 0.3733)
Sm (0.7858, 0.4503, 0.4442)
Ir (0.0000, 0.0000, 0.5000)
Ir (0.0000, 0.0000, 0.0000)
Tl (0.5867, 0.4133, 0.7500)
Tl (0.4133, 0.5867, 0.2500)


Entry 18:
## Sc2TlZn (GGA-PBE)

Data for Sc2TlZn after structural relaxation.

Values from the calculation:
* calculated formation energy: 0.36 eV per atom
* DOS(E_F): 4.53 states/eV/cell
* theoretical density: 5.8 g cm⁻³
* raw total energy: -14.9 eV per cell

Cell: 6.6833 6.6833 6.6833 Å, 55.28 151.52 133.67°
Positions (direct):
Sc (0.0000, 0.2370, 0.2370)
Sc (0.0000, 0.7630, 0.7630)
Tl (0.0000, 0.5000, 0.5000)
Zn (0.0000, 0.0000, 0.0000)


Entry 19:
## CdAsRh2 (GGA-PBE)

Data for CdAsRh2 after structural relaxation.

Values from the calculation:
* calculated formation energy: -0.10 eV per atom
* DOS(E_F): 2.72 states/eV/cell
* theoretical density: 10.2 g cm⁻³
* raw total energy: -20.7 eV per cell

Cell: 7.0265 4.3718 3.3355 Å, 89.98 61.69 128.51°
Positions (direct):
Cd (0.5000, 0.5000, 0.0000)
Rh (0.0000, 0.0000, 0.0000)
Rh (0.5000, 0.0000, 0.5000)
As (0.0000, 0.5000, 0.5000)


Entry 20:
## SnPd (GGA-PBE)

Data for SnPd after structural relaxation.

Values from the calculation:
* calculated formation energy: -0.08 eV per atom
* DOS(E_F): 12.60 states/eV/cell
* theoretical density: 5.7 g cm⁻³
* raw total energy: -74.8 eV per cell

Cell: 8.0429 8.0429 8.0429 Å, 90.00 90.00 90.00°
Positions (direct):
Sn (0.3075, 0.3075, 0.3075)
Sn (0.3075, 0.6925, 0.6925)
Sn (0.6925, 0.3075, 0.6925)
Sn (0.6925, 0.6925, 0.3075)
Sn (0.1925, 0.1925, 0.8075)
Sn (0.8075, 0.1925, 0.1925)
Sn (0.1925, 0.8075, 0.1925)
Sn (0.8075, 0.8075, 0.8075)
Pd (0.8744, 0.8744, 0.1256)
Pd (0.8744, 0.1256, 0.8744)
Pd (0.1256, 0.1256, 0.1256)
Pd (0.6256, 0.3744, 0.3744)
Pd (0.6256, 0.6256, 0.6256)
Pd (0.3744, 0.6256, 0.3744)
Pd (0.3744, 0.3744, 0.6256)
Pd (0.1256, 0.8744, 0.8744)


Entry 21:
## KSrZn2 (GGA-PBE)

Data for KSrZn2 after structural relaxation.

Values from the calculation:
* calculated formation energy: 0.18 eV per atom
* DOS(E_F): 4.21 states/eV/cell
* theoretical density: 3.9 g cm⁻³
* raw total energy: -4.6 eV per cell

Cell: 5.3933 5.3933 5.3933 Å, 60.00 60.00 60.00°
Positions (direct):
K (0.5000, 0.5000, 0.5000)
Sr (0.7500, 0.7500, 0.7500)
Zn (0.2500, 0.2500, 0.2500)
Zn (0.0000, 0.0000, 0.0000)


Entry 22:
## CaTmGa (GGA-PBE)

Data for CaTmGa after structural relaxation.

Values from the calculation:
* calculated formation energy: -0.31 eV per atom
* DOS(E_F): 2.50 states/eV/cell
* theoretical density: 5.6 g cm⁻³
* raw total energy: -10.4 eV per cell

Cell: 3.5777 3.5777 6.9516 Å, 104.91 104.91 90.00°
Positions (direct):
Tm (0.2995, 0.2995, 0.5991)
Ga (0.6762, 0.6762, 0.3524)
Ca (0.0243, 0.0243, 0.0485)


Entry 23:
## RbSnSI2 (GGA-PBE)

Data for RbSnSI2 after structural relaxation.

Values from the calculation:
* DOS(E_F): 1.72 states/eV/cell
* theoretical density: 4.1 g cm⁻³
* formation energy (no corrections): -679.9 meV/atom
* raw total energy: -15.6 eV per cell

Cell: 6.2593 6.2593 5.0145 Å, 90.00 90.00 90.00°
Positions (direct):
I (0.5000, 0.0000, 0.0000)
I (0.0000, 0.5000, 0.0000)
S (0.0000, 0.0000, 0.5000)
Sn (0.0000, 0.0000, 0.0000)
Rb (0.5000, 0.5000, 0.5000)


Entry 24:
## Ba4Cd2Ag (GGA-PBE)

Data for Ba4Cd2Ag after structural relaxation.

Values from the calculation:
* calculated formation energy: -0.09 eV per atom
* DOS(E_F): 9.44 states/eV/cell
* theoretical density: 4.2 g cm⁻³
* raw total energy: -13.0 eV per cell

Cell: 6.4389 6.4389 9.6070 Å, 70.42 70.42 90.00°
Positions (direct):
Ba (0.8006, 0.8006, 0.3987)
Ba (0.5000, 0.0000, 0.0000)
Ba (0.0000, 0.5000, 0.0000)
Ba (0.1994, 0.1994, 0.6013)
Ag (0.0000, 0.0000, 0.0000)
Cd (0.5943, 0.5943, 0.8114)
Cd (0.4057, 0.4057, 0.1886)


Entry 25:
## DyHfZr2 (GGA-PBE)

Data for DyHfZr2 after structural relaxation.

Values from the calculation:
* calculated formation energy: 0.14 eV per atom
* DOS(E_F): 6.01 states/eV/cell
* theoretical density: 8.9 g cm⁻³
* raw total energy: -31.1 eV per cell

Cell: 4.5918 4.6223 4.6223 Å, 90.00 90.00 90.00°
Positions (direct):
Zr (0.0000, 0.0000, 0.5000)
Zr (0.0000, 0.5000, 0.0000)
Dy (0.5000, 0.5000, 0.5000)
Hf (0.5000, 0.0000, 0.0000)